Version i
{"formula": "FeAuI2O", "functional": "GGA+U", "state": "optimized geometry", "n_ef_per_ev_atom": 0.76, "vol_a3_per_atom": 26.9, "lattice_angstrom": [[5.7775, 0.0000, 0.0000], [0.0000, 5.7775, 0.0000], [0.0000, 0.0000, 4.0272]], "species": ["I", "I", "Au", "O", "Fe"], "frac_coords": [[0.0000, 0.5000, 0.0000], [0.5000, 0.0000, 0.0000], [0.0000, 0.0000, 0.0000], [0.0000, 0.0000, 0.5000], [0.5000, 0.5000, 0.5000]]}

Version ii
{"formula": "FeAuI2O", "functional": "GGA+U", "state": "optimized geometry", "n_ef_per_ev_atom": 0.18, "vol_a3_per_atom": 24.6, "lattice_angstrom": [[5.8019, 0.0000, 0.0000], [0.0000, 5.8019, 0.0000], [0.0000, 0.0000, 3.6556]], "species": ["Fe", "O", "I", "I", "Au"], "frac_coords": [[0.0000, 0.0000, 0.0000], [0.0000, 0.0000, 0.5000], [0.0000, 0.5000, 0.0000], [0.5000, 0.0000, 0.0000], [0.5000, 0.5000, 0.5000]]}

Which structure is most stable? version ii, by 45.8 kJ/mol of atoms over the runner-up.